Material: K4Tb3HfTe8
Method: DFT, PBE
State: optimized geometry

* formation energy (no corrections): -121.1 kJ/mol of atoms
* symmetry: R-3m

a = 8.8378 Å, b = 9.7249 Å, c = 8.8378 Å
α = 117.05°, β = 120.00°, γ = 90.00°
With the nearest neighbours (Å) after each atom.
Sites, in units of the cell vectors:
K1 0.5000 0.0000 0.0000  6 Te 3.61
K2 0.5000 0.0000 0.5000  6 Te 3.49
K3 0.0000 0.0000 0.0000  6 Te 3.49
K4 0.0000 0.0000 0.5000  6 Te 3.49
Tb1 0.5000 0.5000 0.0000  6 Te 3.10-3.12
Tb2 0.5000 0.5000 0.5000  6 Te 3.10-3.12
Tb3 0.0000 0.5000 0.5000  6 Te 3.10-3.12
Hf1 0.0000 0.5000 0.0000  6 Te 2.97
Te1 0.2276 0.7054 0.9779  1 Hf 2.97, 2 Tb 3.12
Te2 0.2277 0.7054 0.4553  1 Hf 2.97, 2 Tb 3.12
Te3 0.2623 0.2872 0.5247  3 Tb 3.10
Te4 0.7503 0.7054 0.9779  1 Hf 2.97, 2 Tb 3.12
Te5 0.2497 0.2946 0.0221  1 Hf 2.97, 2 Tb 3.12
Te6 0.7377 0.7128 0.4753  3 Tb 3.10
Te7 0.7723 0.2946 0.5447  1 Hf 2.97, 2 Tb 3.12
Te8 0.7724 0.2946 0.0221  1 Hf 2.97, 2 Tb 3.12